Computed, not measured: crystalline Li3Mn2Si2O8 at its relaxed geometry at the PBE+U level of DFT.

Its crystal system is triclinic. Its symmetry is P1, No. 1. The calculation puts the polymorph energy (0 for the lowest one) at 0.018 eV per atom.

POSCAR file:
```
Li3Mn2Si2O8
1.0
-0.274 2.713 4.066
-5.425 -0.214 -0.076
-0.016 -5.542 3.747
Mn Si Li O
2 2 3 8
Cartesian
-4.481 -5.574 3.614
-1.052 -1.448 3.988
-2.066 -1.552 6.806
-3.809 -0.143 2.874
-1.868 -1.390 0.914
-4.413 -2.917 1.809
-1.144 1.292 2.044
-3.385 -4.044 2.977
-1.773 -2.461 5.464
-1.026 -2.793 2.449
-2.253 0.143 3.375
-3.744 -1.055 1.494
-1.097 -5.103 3.995
-4.664 -0.945 4.016
-4.625 1.248 2.524
```